*1*
Compound: Ge2HI2
Source: Alexandria
Functional: PBE
Structure: optimized geometry

```
data_Ge2HI2
_cell_length_a 9.742
_cell_length_b 9.742
_cell_length_c 4.069
_cell_angle_alpha 90.00
_cell_angle_beta 90.00
_cell_angle_gamma 90.00
_symmetry_space_group_name_H-M 'P 4/m b m'
_symmetry_Int_Tables_number 127
_symmetry_space_group_name_Hall '-P 4 2ab'
loop_
_atom_site_label
_atom_site_fract_x
_atom_site_fract_y
_atom_site_fract_z
Ge1 0.089 0.411 0.000
H1 0.000 0.000 0.500
I1 0.147 0.647 0.500
```



*2*
Compound: Ge2HI2
Source: Alexandria
Functional: PBE
Structure: optimized geometry

```
data_Ge2HI2
_cell_length_a 3.880
_cell_length_b 3.880
_cell_length_c 18.770
_cell_angle_alpha 90.00
_cell_angle_beta 90.00
_cell_angle_gamma 90.00
_symmetry_space_group_name_H-M 'I 4/m m m'
_symmetry_Int_Tables_number 139
_symmetry_space_group_name_Hall '-I 4 2'
loop_
_atom_site_label
_atom_site_fract_x
_atom_site_fract_y
_atom_site_fract_z
Ge1 0.000 0.500 0.250
H1 0.000 0.000 0.000
I1 0.000 0.000 0.387
```



It turns out *2* is the most stable, with the second structure 31 meV per atom higher.



*1*
Compound: Ge2HI
Source: Alexandria
Functional: PBE
Structure: optimized geometry

```
data_Ge2HI
_cell_length_a 6.994
_cell_length_b 6.994
_cell_length_c 6.994
_cell_angle_alpha 90.00
_cell_angle_beta 90.00
_cell_angle_gamma 90.00
_symmetry_space_group_name_H-M 'F m -3 m'
_symmetry_Int_Tables_number 225
_symmetry_space_group_name_Hall '-F 4 2 3'
loop_
_atom_site_label
_atom_site_fract_x
_atom_site_fract_y
_atom_site_fract_z
Ge1 0.250 0.250 0.250
H1 0.000 0.000 0.000
I1 0.000 0.000 0.500
```



*2*
Compound: Ge2HI
Source: Alexandria
Functional: PBE
Structure: optimized geometry

```
data_Ge2HI
_cell_length_a 5.330
_cell_length_b 5.330
_cell_length_c 13.143
_cell_angle_alpha 90.00
_cell_angle_beta 90.00
_cell_angle_gamma 90.00
_symmetry_space_group_name_H-M 'I -4 2 d'
_symmetry_Int_Tables_number 122
_symmetry_space_group_name_Hall 'I -4 2bw'
loop_
_atom_site_label
_atom_site_fract_x
_atom_site_fract_y
_atom_site_fract_z
Ge1 0.060 0.250 0.125
H1 0.000 0.000 0.000
I1 0.000 0.000 0.500
```



It turns out *2* is the most stable, with the second structure 411 meV per atom higher.



*1*
Compound: GeHI2N
Source: Alexandria
Functional: PBE
Structure: optimized geometry

```
data_GeHI2N
_cell_length_a 6.383
_cell_length_b 6.383
_cell_length_c 2.907
_cell_angle_alpha 90.00
_cell_angle_beta 90.00
_cell_angle_gamma 90.00
_symmetry_space_group_name_H-M 'P 4/m m m'
_symmetry_Int_Tables_number 123
_symmetry_space_group_name_Hall '-P 4 2'
loop_
_atom_site_label
_atom_site_fract_x
_atom_site_fract_y
_atom_site_fract_z
Ge1 0.000 0.000 0.000
H1 0.500 0.500 0.500
I1 0.000 0.500 0.500
N1 0.500 0.500 0.000
```



*2*
Compound: GeHI2N
Source: Alexandria
Functional: PBE
Structure: optimized geometry

```
data_GeHI2N
_cell_length_a 6.411
_cell_length_b 6.411
_cell_length_c 3.366
_cell_angle_alpha 90.00
_cell_angle_beta 90.00
_cell_angle_gamma 90.00
_symmetry_space_group_name_H-M 'P 4/m m m'
_symmetry_Int_Tables_number 123
_symmetry_space_group_name_Hall '-P 4 2'
loop_
_atom_site_label
_atom_site_fract_x
_atom_site_fract_y
_atom_site_fract_z
Ge1 0.000 0.000 0.000
H1 0.500 0.500 0.500
I1 0.000 0.500 0.000
N1 0.000 0.000 0.500
```



It turns out *2* is the most stable, with the second structure 153 meV per atom higher.